Entry from Alexandria via LeMat-Bulk: a relaxed structure of Fe2H2O (PBE+U).

Lattice parameters (Å, degrees): 5.617 5.617 2.973 90.00 90.00 90.00
Space group P4/mbm (No. 127)
Symmetry-distinct sites (fractional):
1 Fe 0.195 0.305 0.000 (multiplicity 4)
2 H 0.139 0.639 0.500 (multiplicity 4)
3 O 0.000 0.000 0.000 (multiplicity 2)

Computed properties:
Offset from the most stable computed form ... 0 meV/atom
E_tot ... -4.72 eV/atom